No. 1
Here is an optimized crystal structure of Nb3TlAu from Alexandria. Energies are from PBE-GGA.

a b c (Å): 5.0772 5.0772 5.0772
angles (deg): 90.00 90.00 90.00
Fractional positions:
Nb 0.0000 0.0000 0.5000
Nb 0.0000 0.5000 0.0000
Nb 0.5000 0.0000 0.0000
Tl 0.0000 0.0000 0.0000
Au 0.5000 0.5000 0.5000

Values from the calculation:
relative energy among the computed polymorphs = 0.684 eV/atom
volume = 130.88 Å³/f.u.
calculated formation energy = 2.06 eV/atom

---

No. 2
Here is an optimized crystal structure of Nb4TlAu2 from Alexandria. Energies are from PBE-GGA.

a b c (Å): 7.6037 7.6037 7.6037
angles (deg): 140.98 140.98 56.36
Fractional positions:
Nb 0.0000 0.5000 0.5000
Nb 0.2027 0.2027 0.0000
Nb 0.5000 0.0000 0.5000
Nb 0.7973 0.7973 0.0000
Tl 0.0000 0.0000 0.0000
Au 0.3936 0.3936 0.0000
Au 0.6064 0.6064 0.0000

Values from the calculation:
volume = 172.86 Å³/f.u.
calculated formation energy = 1.48 eV/atom

---

No. 3
Here is an optimized crystal structure of Nb3TlAu from Alexandria. Energies are from PBE-GGA.

a b c (Å): 4.9925 4.9925 4.9925
angles (deg): 90.00 90.00 90.00
Fractional positions:
Nb 0.0000 0.0000 0.5000
Nb 0.0000 0.5000 0.0000
Nb 0.5000 0.0000 0.0000
Tl 0.5000 0.5000 0.5000
Au 0.0000 0.0000 0.0000

Values from the calculation:
relative energy among the computed polymorphs = 0.000 eV/atom
volume = 124.44 Å³/f.u.
calculated formation energy = 1.37 eV/atom

---

No. 4
Here is an optimized crystal structure of NbTl2Au from Alexandria. Energies are from PBE-GGA.

a b c (Å): 4.9782 4.9782 4.9782
angles (deg): 60.00 60.00 60.00
Fractional positions:
Nb 0.0000 0.0000 0.0000
Tl 0.2500 0.2500 0.2500
Tl 0.7500 0.7500 0.7500
Au 0.5000 0.5000 0.5000

Values from the calculation:
relative energy among the computed polymorphs = 0.015 eV/atom
volume = 87.24 Å³/f.u.
calculated formation energy = 0.55 eV/atom

---

No. 5
Here is an optimized crystal structure of Nb2TlAu from Alexandria. Energies are from PBE-GGA.

a b c (Å): 6.1132 6.1132 6.1132
angles (deg): 102.66 102.66 124.16
Fractional positions:
Nb 0.1120 0.1250 0.4870
Nb 0.3750 0.8880 0.0130
Nb 0.6380 0.6250 0.5130
Nb 0.8750 0.3620 0.9870
Tl 0.2500 0.7500 0.5000
Tl 0.5000 0.5000 0.0000
Au 0.0000 0.0000 0.0000
Au 0.7500 0.2500 0.5000

Values from the calculation:
volume = 83.52 Å³/f.u.
calculated formation energy = 0.53 eV/atom

---

No. 6
Here is an optimized crystal structure of ZrNbTl2Au from Alexandria. Energies are from PBE-GGA.

a b c (Å): 5.2950 5.2950 5.0757
angles (deg): 90.00 90.00 90.00
Fractional positions:
Zr 0.0000 0.0000 0.0000
Nb 0.5000 0.5000 0.5000
Tl 0.0000 0.5000 0.5000
Tl 0.5000 0.0000 0.5000
Au 0.5000 0.5000 0.0000

Values from the calculation:
volume = 142.31 Å³/f.u.
calculated formation energy = 0.99 eV/atom

---

No. 7
Here is an optimized crystal structure of UNbAu from Alexandria. Energies are from PBE-GGA.

a b c (Å): 7.4997 7.4997 7.4997
angles (deg): 158.10 158.10 31.17
Fractional positions:
U 0.0000 0.0000 0.0000
Nb 0.3258 0.3258 0.0000
Au 0.6755 0.6755 0.0000

Values from the calculation:
volume = 58.65 Å³/f.u.
calculated formation energy = 0.04 eV/atom

---

No. 8
Here is an optimized crystal structure of UNb2Au from Alexandria. Energies are from PBE-GGA.

a b c (Å): 3.4654 3.4654 6.3584
angles (deg): 90.00 90.00 90.00
Fractional positions:
U 0.0000 0.0000 0.0000
Nb 0.5000 0.5000 0.2311
Nb 0.5000 0.5000 0.7689
Au 0.0000 0.0000 0.5000

Values from the calculation:
relative energy among the computed polymorphs = 0.053 eV/atom
volume = 76.36 Å³/f.u.
calculated formation energy = 0.13 eV/atom

---

- Look up the volume of the fifth one.
  83.52 Å³/f.u.

---

- Among the records above, which one has the lowest calculated formation energy?
  UNbAu